## Pa2Co2Hg (GGA-PBE)

Data for a geometry-optimized Pa2Co2Hg structure.

## Properties
Density: 13.66 g/cm³
Formation energy: -321.0 meV/atom
Total magnetization: 0.00 μB per formula unit

a = 7.442 Å, b = 7.442 Å, c = 3.427 Å
α = 90.00°, β = 90.00°, γ = 90.00°
Space group P4/mbm (No. 127)
Symmetry-distinct sites (fractional):
1 Pa 0.166 0.334 0.000
2 Co 0.131 0.631 0.500
3 Hg 0.000 0.000 0.500

---

## PaCo4Hg (GGA-PBE)

Data for a geometry-optimized PaCo4Hg structure.

## Properties
Density: 12.68 g/cm³
Formation energy: -87.1 meV/atom
Total magnetization: 2.72 μB per formula unit

a = 7.045 Å, b = 7.045 Å, c = 7.045 Å
α = 90.00°, β = 90.00°, γ = 90.00°
Space group F-43m (No. 216)
Symmetry-distinct sites (fractional):
1 Pa 0.000 0.000 0.000
2 Co 0.125 0.125 0.625
3 Hg 0.250 0.250 0.250

---

## CoHgPb (GGA-PBE)

Data for a geometry-optimized CoHgPb structure.

## Properties
Density: 12.00 g/cm³
Formation energy: 386.2 meV/atom
Total magnetization: 0.67 μB per formula unit

a = 6.370 Å, b = 6.370 Å, c = 6.370 Å
α = 90.00°, β = 90.00°, γ = 90.00°
Space group F-43m (No. 216)
Symmetry-distinct sites (fractional):
1 Co 0.000 0.000 0.000
2 Hg 0.250 0.250 0.250
3 Pb 0.250 0.250 0.750

---

## CoHgPb3 (GGA-PBE)

Data for a geometry-optimized CoHgPb3 structure.

## Properties
Density: 10.78 g/cm³
Formation energy: 179.7 meV/atom
Total magnetization: 0.76 μB per formula unit

a = 5.139 Å, b = 5.139 Å, c = 5.139 Å
α = 90.00°, β = 90.00°, γ = 90.00°
Space group Pm-3m (No. 221)
Symmetry-distinct sites (fractional):
1 Co 0.000 0.000 0.000
2 Hg 0.500 0.500 0.500
3 Pb 0.000 0.000 0.500

---

## Co2HgPb2 (GGA-PBE)

Data for a geometry-optimized Co2HgPb2 structure.

## Properties
Density: 12.31 g/cm³
Formation energy: 391.1 meV/atom
Total magnetization: 2.57 μB per formula unit

a = 7.019 Å, b = 7.019 Å, c = 4.014 Å
α = 90.00°, β = 90.00°, γ = 90.00°
Space group P4/mbm (No. 127)
Symmetry-distinct sites (fractional):
1 Co 0.121 0.379 0.000
2 Hg 0.000 0.000 0.000
3 Pb 0.170 0.670 0.500

---

## Co3HgPb (GGA-PBE)

Data for a geometry-optimized Co3HgPb structure.

## Properties
Density: 8.77 g/cm³
Formation energy: 1409.7 meV/atom
Total magnetization: 4.99 μB per formula unit

a = 4.802 Å, b = 4.802 Å, c = 4.802 Å
α = 90.00°, β = 90.00°, γ = 90.00°
Space group Pm-3m (No. 221)
Symmetry-distinct sites (fractional):
1 Co 0.000 0.000 0.500
2 Hg 0.000 0.000 0.000
3 Pb 0.500 0.500 0.500

---

## Co3HgPb (GGA-PBE)

Data for a geometry-optimized Co3HgPb structure.

## Properties
Density: 8.44 g/cm³
Formation energy: 1527.9 meV/atom
Total magnetization: 5.12 μB per formula unit

a = 4.863 Å, b = 4.863 Å, c = 4.863 Å
α = 90.00°, β = 90.00°, γ = 90.00°
Space group Pm-3m (No. 221)
Symmetry-distinct sites (fractional):
1 Co 0.000 0.000 0.500
2 Hg 0.500 0.500 0.500
3 Pb 0.000 0.000 0.000

---

## CoHgPb (GGA-PBE)

Data for a geometry-optimized CoHgPb structure.

## Properties
Density: 11.78 g/cm³
Formation energy: 553.3 meV/atom
Total magnetization: 1.28 μB per formula unit

a = 4.4167 Å, b = 4.4167 Å, c = 3.8930 Å
α = 90.00°, β = 90.00°, γ = 120.00°
Space group P3m1 (No. 156)
Symmetry-distinct sites (fractional):
1 Co 0.0000 0.0000 0.0000
2 Hg 0.6667 0.3333 0.2319
3 Pb 0.3333 0.6667 0.7109

---

Number 1: VASP energy -7.022 eV per atom. Number 2: VASP energy -6.457 eV per atom. Number 3: VASP energy -3.319 eV per atom. Number 4: VASP energy -3.527 eV per atom. Number 5: VASP energy -3.995 eV per atom. Number 6: VASP energy -3.656 eV per atom. Number 7: VASP energy -3.538 eV per atom. Number 8: VASP energy -3.152 eV per atom.